Below is Pr4SmY2Tm2 after structural relaxation, with properties calculated at the PBE level.

Cell: 5.1187 8.1106 8.0891 Å, 107.26 90.00 108.39°
Fractional coordinates of all 9 atoms:
Pr1 0.5541 0.1082 0.3292
Pr2 0.2227 0.4454 0.3300
Pr3 0.4459 0.8918 0.6708
Pr4 0.7773 0.5546 0.6700
Tm1 0.6683 0.3367 0.9996
Tm2 0.3317 0.6633 0.0004
Y1 0.1118 0.2236 0.6697
Y2 0.8882 0.7764 0.3303
Sm1 0.0000 0.0000 0.0000

Values from the calculation:
The calculation puts the density of states at the Fermi level at 13.50 states/eV/cell. For the total magnetic moment, the calculation gives 0.00 μB per formula unit. As for the energy relative to the elements: 18.5 kJ/mol of formula units.